# 1
Compound: Ce5CuSe8
Source: Alexandria
Functional: meta-GGA SCAN
Structure: single point on PBEsol structure

Calculated values
- electronic total energy (eV per atom) = -30.270
- density (g/cm³) = 7.1
- raw formation energy (eV/atom) = -1.7956

Cell and atoms, written as CIF:
```
data_Ce5CuSe8
_chemical_formula_sum 'Ce5 Cu1 Se8'
_cell_length_a 7.502
_cell_length_b 7.502
_cell_length_c 7.502
_cell_angle_alpha 110.57
_cell_angle_beta 110.57
_cell_angle_gamma 107.29
_space_group_name_H-M_alt 'P 1'
_space_group_IT_number 1
_space_group_name_Hall 'P 1'
loop_
_atom_site_label
_atom_site_type_symbol
_atom_site_fract_x
_atom_site_fract_y
_atom_site_fract_z
Ce1 Ce 0.000 0.000 0.000
Ce2 Ce 0.135 0.258 0.625
Ce3 Ce 0.491 0.865 0.124
Ce4 Ce 0.633 0.509 0.375
Ce5 Ce 0.742 0.367 0.876
Cu1 Cu 0.250 0.750 0.500
Se1 Se 0.018 0.615 0.761
Se2 Se 0.222 0.481 0.128
Se3 Se 0.354 0.095 0.872
Se4 Se 0.385 0.146 0.403
Se5 Se 0.519 0.646 0.741
Se6 Se 0.744 0.982 0.597
Se7 Se 0.854 0.256 0.239
Se8 Se 0.905 0.778 0.259
```

---

# 2
Compound: CeCuSe2
Source: Alexandria
Functional: meta-GGA SCAN
Structure: single point on PBEsol structure

Calculated values
- electronic total energy (eV per atom) = -26.364
- density (g/cm³) = 7.1
- raw formation energy (eV/atom) = -1.3835

Cell and atoms, written as CIF:
```
data_CeCuSe2
_chemical_formula_sum 'Ce4 Cu4 Se8'
_cell_length_a 6.467
_cell_length_b 7.403
_cell_length_c 7.106
_cell_angle_alpha 90.00
_cell_angle_beta 96.47
_cell_angle_gamma 90.00
_space_group_name_H-M_alt 'P 1'
_space_group_IT_number 1
_space_group_name_Hall 'P 1'
loop_
_atom_site_label
_atom_site_type_symbol
_atom_site_fract_x
_atom_site_fract_y
_atom_site_fract_z
Ce1 Ce 0.188 0.048 0.300
Ce2 Ce 0.188 0.452 0.800
Ce3 Ce 0.812 0.548 0.200
Ce4 Ce 0.812 0.952 0.700
Cu1 Cu 0.448 0.664 0.460
Cu2 Cu 0.448 0.836 0.960
Cu3 Cu 0.552 0.164 0.040
Cu4 Cu 0.552 0.336 0.540
Se1 Se 0.091 0.723 0.501
Se2 Se 0.091 0.777 0.001
Se3 Se 0.391 0.107 0.717
Se4 Se 0.391 0.393 0.217
Se5 Se 0.609 0.607 0.783
Se6 Se 0.609 0.893 0.283
Se7 Se 0.909 0.223 0.999
Se8 Se 0.909 0.277 0.499
```